(one)
VASP calculation (PBE) on an optimized crystal structure of AcAl2O4.

abc: 6.477 6.477 6.477
angles: 112.09 112.09 104.36
Sites, in units of the cell vectors:
Ac  0.000  0.000  0.000
Ac  0.750  0.250  0.500
Al  0.293  0.625  0.168
Al  0.375  0.543  0.668
Al  0.457  0.125  0.832
Al  0.875  0.707  0.332
O  0.065  0.743  0.187
O  0.121  0.935  0.678
O  0.194  0.507  0.822
O  0.257  0.444  0.322
O  0.493  0.315  0.687
O  0.556  0.879  0.813
O  0.629  0.806  0.313
O  0.685  0.371  0.178

Calculated values
Total moment (μB per formula unit): 0.000
N(E_F) (states/eV per atom): 0.106

---

(two)
VASP calculation (PBE) on an optimized crystal structure of AcAl2O4.

abc: 5.288 5.288 8.775
angles: 90.00 90.00 122.86
Sites, in units of the cell vectors:
Ac  0.000  0.000  0.250
Ac  0.000  0.000  0.750
Al  0.286  0.708  0.000
Al  0.292  0.714  0.500
Al  0.708  0.286  0.500
Al  0.714  0.292  0.000
O  0.000  0.500  0.146
O  0.000  0.500  0.854
O  0.073  0.309  0.500
O  0.309  0.073  0.000
O  0.500  0.000  0.354
O  0.500  0.000  0.646
O  0.691  0.927  0.000
O  0.927  0.691  0.500

Calculated values
Total moment (μB per formula unit): 0.162
N(E_F) (states/eV per atom): 0.191

---

Energetically preferred structure: (two) | next structure: +7.3 kJ/mol of atoms

---

(one)
VASP calculation (PBE) on an optimized crystal structure of AcAlOs.

abc: 4.325 4.325 4.505
angles: 90.00 90.00 120.00
Sites, in units of the cell vectors:
Ac  0.000  0.000  0.000
Al  0.667  0.333  0.500
Os  0.333  0.667  0.500

Calculated values
Total moment (μB per formula unit): 0.000
N(E_F) (states/eV per atom): 0.178

---

(two)
VASP calculation (PBE) on an optimized crystal structure of AcAlOs.

abc: 6.325 6.325 6.325
angles: 149.14 149.14 44.21
Sites, in units of the cell vectors:
Ac  0.000  0.000  0.000
Al  0.274  0.274  0.000
Os  0.683  0.683  0.000

Calculated values
Total moment (μB per formula unit): 0.000
N(E_F) (states/eV per atom): 0.236

---

(three)
VASP calculation (PBE) on an optimized crystal structure of AcAlOs.

abc: 4.568 4.568 7.325
angles: 90.00 90.09 90.00
Sites, in units of the cell vectors:
Ac  0.249  0.250  0.204
Ac  0.751  0.750  0.796
Al  0.250  0.250  0.656
Al  0.750  0.750  0.344
Os  0.250  0.750  0.500
Os  0.750  0.250  0.500

Calculated values
Total moment (μB per formula unit): 0.000
N(E_F) (states/eV per atom): 0.609

---

Energetically preferred structure: (three) | next structure: +8.6 kJ/mol of atoms

---

(one)
VASP calculation (PBE) on an optimized crystal structure of Ac2AlP.

abc: 3.878 3.878 7.657
angles: 90.00 90.00 90.00
Sites, in units of the cell vectors:
Ac  0.000  0.000  0.229
Ac  0.000  0.000  0.771
Al  0.500  0.500  0.500
P  0.500  0.500  0.000

Calculated values
Total moment (μB per formula unit): 0.000
N(E_F) (states/eV per atom): 0.428

---

(two)
VASP calculation (PBE) on an optimized crystal structure of Ac2AlP.

abc: 10.694 10.694 10.694
angles: 22.10 22.10 22.10
Sites, in units of the cell vectors:
Ac  0.108  0.108  0.108
Ac  0.892  0.892  0.892
Al  0.000  0.000  0.000
P  0.500  0.500  0.500

Calculated values
Total moment (μB per formula unit): 0.000
N(E_F) (states/eV per atom): 0.970

---

(three)
VASP calculation (PBE) on an optimized crystal structure of Ac2AlP.

abc: 5.484 5.484 5.484
angles: 60.00 60.00 60.00
Sites, in units of the cell vectors:
Ac  0.250  0.250  0.250
Ac  0.750  0.750  0.750
Al  0.000  0.000  0.000
P  0.500  0.500  0.500

Calculated values
Total moment (μB per formula unit): 0.000
N(E_F) (states/eV per atom): 1.177

---

Energetically preferred structure: (one) | next structure: +19.7 kJ/mol of atoms

---

(one)
VASP calculation (PBE) on an optimized crystal structure of AcAlP2.

abc: 3.729 3.729 6.116
angles: 90.00 90.00 90.00
Sites, in units of the cell vectors:
Ac  0.000  0.000  0.000
Al  0.000  0.000  0.500
P  0.500  0.500  0.311
P  0.500  0.500  0.689

Calculated values
Total moment (μB per formula unit): 0.000
N(E_F) (states/eV per atom): 0.481

---

(two)
VASP calculation (PBE) on an optimized crystal structure of AcAlP2.

abc: 6.751 6.751 6.751
angles: 35.20 35.20 35.20
Sites, in units of the cell vectors:
Ac  0.000  0.000  0.000
Al  0.500  0.500  0.500
P  0.232  0.232  0.232
P  0.768  0.768  0.768

Calculated values
Total moment (μB per formula unit): 0.000
N(E_F) (states/eV per atom): 0.233

---

(three)
VASP calculation (PBE) on an optimized crystal structure of AcAlP2.

abc: 4.759 4.759 3.897
angles: 90.00 90.00 90.00
Sites, in units of the cell vectors:
Ac  0.000  0.000  0.000
Al  0.500  0.500  0.000
P  0.000  0.500  0.500
P  0.500  0.000  0.500

Calculated values
Total moment (μB per formula unit): 0.000
N(E_F) (states/eV per atom): 0.474

---

Energetically preferred structure: (two) | next structure: +29.5 kJ/mol of atoms

---

(one)
VASP calculation (PBE) on an optimized crystal structure of Ac2PaAl.

abc: 12.346 12.346 12.346
angles: 16.34 16.34 16.34
Sites, in units of the cell vectors:
Ac  0.094  0.094  0.094
Ac  0.906  0.906  0.906
Pa  0.000  0.000  0.000
Al  0.500  0.500  0.500

Calculated values
Total moment (μB per formula unit): 0.000
N(E_F) (states/eV per atom): 1.461

---

(two)
VASP calculation (PBE) on an optimized crystal structure of Ac2PaAl.

abc: 3.686 3.686 9.411
angles: 90.00 90.00 90.00
Sites, in units of the cell vectors:
Ac  0.000  0.000  0.231
Ac  0.000  0.000  0.769
Pa  0.500  0.500  0.500
Al  0.500  0.500  0.000

Calculated values
Total moment (μB per formula unit): 0.378
N(E_F) (states/eV per atom): 1.463

---

Energetically preferred structure: (two) | next structure: +29.0 kJ/mol of atoms

---

(one)
VASP calculation (PBE) on an optimized crystal structure of AcPaAl2.

abc: 10.295 10.295 10.295
angles: 19.59 19.59 19.59
Sites, in units of the cell vectors:
Ac  0.000  0.000  0.000
Pa  0.500  0.500  0.500
Al  0.245  0.245  0.245
Al  0.755  0.755  0.755

Calculated values
Total moment (μB per formula unit): 0.001
N(E_F) (states/eV per atom): 1.497

---

(two)
VASP calculation (PBE) on an optimized crystal structure of AcPaAl2.

abc: 3.879 3.879 7.057
angles: 90.00 90.00 90.00
Sites, in units of the cell vectors:
Ac  0.000  0.000  0.000
Pa  0.000  0.000  0.500
Al  0.500  0.500  0.297
Al  0.500  0.500  0.703

Calculated values
Total moment (μB per formula unit): 0.002
N(E_F) (states/eV per atom): 1.392

---

Energetically preferred structure: (two) | next structure: +20.1 kJ/mol of atoms

---

(one)
VASP calculation (PBE) on an optimized crystal structure of Ac3AlPb2.

abc: 9.404 9.404 7.093
angles: 103.84 103.84 43.25
Sites, in units of the cell vectors:
Ac  0.182  0.818  0.750
Ac  0.219  0.434  0.381
Ac  0.434  0.219  0.881
Ac  0.566  0.781  0.119
Ac  0.781  0.566  0.619
Ac  0.818  0.182  0.250
Al  0.327  0.673  0.250
Al  0.673  0.327  0.750
Pb  0.047  0.257  0.024
Pb  0.257  0.047  0.524
Pb  0.743  0.953  0.476
Pb  0.953  0.743  0.976

Calculated values
Total moment (μB per formula unit): 0.000
N(E_F) (states/eV per atom): 0.684

---

(two)
VASP calculation (PBE) on an optimized crystal structure of Ac3AlPb2.

abc: 13.516 4.776 13.302
angles: 90.00 90.00 90.00
Sites, in units of the cell vectors:
Ac  0.058  0.250  0.119
Ac  0.121  0.750  0.554
Ac  0.218  0.250  0.791
Ac  0.282  0.750  0.291
Ac  0.379  0.250  0.054
Ac  0.442  0.750  0.619
Ac  0.558  0.250  0.381
Ac  0.621  0.750  0.946
Ac  0.718  0.250  0.709
Ac  0.782  0.750  0.209
Ac  0.879  0.250  0.446
Ac  0.942  0.750  0.881
Al  0.128  0.250  0.367
Al  0.372  0.750  0.867
Al  0.628  0.250  0.133
Al  0.872  0.750  0.633
Pb  0.014  0.750  0.307
Pb  0.191  0.750  0.993
Pb  0.309  0.250  0.493
Pb  0.486  0.250  0.807
Pb  0.514  0.750  0.193
Pb  0.691  0.750  0.507
Pb  0.809  0.250  0.007
Pb  0.986  0.250  0.693

Calculated values
Total moment (μB per formula unit): 0.000
N(E_F) (states/eV per atom): 0.802

---

Energetically preferred structure: (two) | next structure: +10.7 kJ/mol of atoms

---

(one)
VASP calculation (PBE) on an optimized crystal structure of AcAlPb.

abc: 6.833 6.643 8.453
angles: 90.00 104.70 90.00
Sites, in units of the cell vectors:
Ac  0.239  0.152  0.483
Ac  0.239  0.348  0.983
Ac  0.761  0.652  0.017
Ac  0.761  0.848  0.517
Al  0.412  0.598  0.674
Al  0.412  0.902  0.174
Al  0.588  0.098  0.826
Al  0.588  0.402  0.326
Pb  0.185  0.645  0.346
Pb  0.185  0.855  0.846
Pb  0.815  0.145  0.154
Pb  0.815  0.355  0.654

Calculated values
Total moment (μB per formula unit): 0.000
N(E_F) (states/eV per atom): 0.520

---

(two)
VASP calculation (PBE) on an optimized crystal structure of AcAlPb.

abc: 8.897 8.897 4.580
angles: 101.84 101.84 31.74
Sites, in units of the cell vectors:
Ac  0.109  0.109  0.326
Ac  0.891  0.891  0.674
Al  0.462  0.462  0.218
Al  0.538  0.538  0.782
Pb  0.296  0.296  0.170
Pb  0.704  0.704  0.830

Calculated values
Total moment (μB per formula unit): 0.000
N(E_F) (states/eV per atom): 0.404

---

(three)
VASP calculation (PBE) on an optimized crystal structure of AcAlPb.

abc: 6.675 6.675 6.675
angles: 146.56 146.56 48.01
Sites, in units of the cell vectors:
Ac  0.000  0.000  0.000
Al  0.678  0.678  0.000
Pb  0.296  0.296  0.000

Calculated values
Total moment (μB per formula unit): 0.001
N(E_F) (states/eV per atom): 0.667

---

Energetically preferred structure: (two) | next structure: +13.3 kJ/mol of atoms

---

(one)
VASP calculation (PBE) on an optimized crystal structure of Ac2AlPd3.

abc: 8.782 8.782 8.782
angles: 152.17 151.42 40.32
Sites, in units of the cell vectors:
Ac  0.000  0.000  0.000
Ac  0.733  0.233  0.500
Al  0.403  0.403  0.000
Pd  0.158  0.658  0.500
Pd  0.325  0.825  0.500
Pd  0.555  0.555  0.000

Calculated values
Total moment (μB per formula unit): 0.000
N(E_F) (states/eV per atom): 0.622

---

(two)
VASP calculation (PBE) on an optimized crystal structure of Ac2AlPd3.

abc: 9.066 8.856 6.211
angles: 71.55 67.92 40.53
Sites, in units of the cell vectors:
Ac  0.243  0.757  0.757
Ac  0.250  0.250  0.250
Ac  0.750  0.750  0.750
Ac  0.757  0.243  0.243
Al  0.333  0.333  0.667
Al  0.667  0.667  0.333
Pd  0.174  0.174  0.826
Pd  0.179  0.645  0.355
Pd  0.355  0.821  0.179
Pd  0.645  0.179  0.821
Pd  0.821  0.355  0.645
Pd  0.826  0.826  0.174

Calculated values
Total moment (μB per formula unit): 0.000
N(E_F) (states/eV per atom): 0.620

---

Energetically preferred structure: (one) | next structure: +1.3 kJ/mol of atoms

---

(one)
VASP calculation (PBE) on an optimized crystal structure of Ac3Al8Pd3.

abc: 8.563 8.563 8.563
angles: 149.24 104.51 83.69
Sites, in units of the cell vectors:
Ac  0.000  0.000  0.000
Ac  0.318  0.318  0.000
Ac  0.682  0.682  0.000
Al  0.027  0.670  0.357
Al  0.163  0.882  0.281
Al  0.312  0.670  0.643
Al  0.399  0.118  0.281
Al  0.601  0.882  0.719
Al  0.688  0.330  0.357
Al  0.837  0.118  0.719
Al  0.973  0.330  0.643
Pd  0.275  0.500  0.775
Pd  0.500  0.000  0.500
Pd  0.725  0.500  0.225

Calculated values
Total moment (μB per formula unit): 0.000
N(E_F) (states/eV per atom): 0.407

---

(two)
VASP calculation (PBE) on an optimized crystal structure of Ac3Al8Pd3.

abc: 8.623 8.623 9.232
angles: 121.83 121.83 31.40
Sites, in units of the cell vectors:
Ac  0.000  0.000  0.000
Ac  0.284  0.284  0.296
Ac  0.716  0.716  0.704
Al  0.130  0.130  0.422
Al  0.142  0.142  0.852
Al  0.350  0.350  0.713
Al  0.494  0.494  0.325
Al  0.506  0.506  0.675
Al  0.650  0.650  0.287
Al  0.858  0.858  0.148
Al  0.870  0.870  0.578
Pd  0.000  0.000  0.500
Pd  0.347  0.347  0.002
Pd  0.653  0.653  0.998

Calculated values
Total moment (μB per formula unit): 0.000
N(E_F) (states/eV per atom): 0.431

---

Energetically preferred structure: (one) | next structure: +2.5 kJ/mol of atoms